No. 1
Ba2Y | PBE | optimized geometry

The structure in CIF format:
```
data_Ba2Y
_chemical_formula_sum 'Ba4 Y2'
_symmetry_space_group_name_H-M 'I 4/m m m'
_symmetry_Int_Tables_number 139
_symmetry_space_group_name_Hall '-I 4 2'
_cell_length_a 4.430
_cell_length_b 4.430
_cell_length_c 15.071
_cell_angle_alpha 90.00
_cell_angle_beta 90.00
_cell_angle_gamma 90.00
loop_
_atom_site_label
_atom_site_type_symbol
_atom_site_fract_x
_atom_site_fract_y
_atom_site_fract_z
_atom_site_occupancy
Ba1 Ba 0.000 0.000 0.151 1
Y1 Y 0.000 0.000 0.500 1
```

Calculated values
Offset from the most stable computed form   0.14 eV/f.u.

No. 2
MnCuNi2 | PBE | optimized geometry

The structure in CIF format:
```
data_MnCuNi2
_chemical_formula_sum 'Mn4 Cu4 Ni8'
_symmetry_space_group_name_H-M 'I -4 2 d'
_symmetry_Int_Tables_number 122
_symmetry_space_group_name_Hall 'I -4 2bw'
_cell_length_a 6.425
_cell_length_b 6.425
_cell_length_c 4.972
_cell_angle_alpha 90.00
_cell_angle_beta 90.00
_cell_angle_gamma 90.00
loop_
_atom_site_label
_atom_site_type_symbol
_atom_site_fract_x
_atom_site_fract_y
_atom_site_fract_z
_atom_site_occupancy
Mn1 Mn 0.000 0.000 0.000 1
Cu1 Cu 0.000 0.000 0.500 1
Ni1 Ni 0.249 0.750 0.125 1
```

No. 3
BCCl2 | PBE | optimized geometry

The structure in CIF format:
```
data_BCCl2
_chemical_formula_sum 'B3 C3 Cl6'
_symmetry_space_group_name_H-M 'R -3 m'
_symmetry_Int_Tables_number 166
_symmetry_space_group_name_Hall '-R 3 2"'
_cell_length_a 3.2191
_cell_length_b 3.2191
_cell_length_c 24.8285
_cell_angle_alpha 90.00
_cell_angle_beta 90.00
_cell_angle_gamma 120.00
loop_
_atom_site_label
_atom_site_type_symbol
_atom_site_fract_x
_atom_site_fract_y
_atom_site_fract_z
_atom_site_occupancy
B1 B 0.0000 0.0000 0.0000 1
C1 C 0.0000 0.0000 0.5000 1
Cl1 Cl 0.0000 0.0000 0.0667 1
```

Calculated values
Offset from the most stable computed form   0.00 eV/f.u.
Formation energy without anion corrections   1836 meV/atom

No. 4
TmNbFe | PBE | optimized geometry

The structure in CIF format:
```
data_TmNbFe
_chemical_formula_sum 'Tm4 Nb4 Fe4'
_symmetry_space_group_name_H-M 'P 1 21/c 1'
_symmetry_Int_Tables_number 14
_cell_length_a 5.785
_cell_length_b 6.548
_cell_length_c 7.259
_cell_angle_alpha 90.00
_cell_angle_beta 120.06
_cell_angle_gamma 90.00
loop_
_symmetry_equiv_pos_as_xyz
'x,y,z'
'-x,-y,-z'
'-x,y+1/2,-z+1/2'
'x,-y+1/2,z+1/2'
loop_
_atom_site_label
_atom_site_type_symbol
_atom_site_fract_x
_atom_site_fract_y
_atom_site_fract_z
_atom_site_occupancy
Tm1 Tm 0.230 0.159 0.421 1
Nb1 Nb 0.259 0.639 0.568 1
Fe1 Fe 0.340 0.561 0.286 1
```

Calculated values
Offset from the most stable computed form   0.19 eV/f.u.

no.,volume (Å³/atom),total DFT energy (no corrections) (Ry per atom)
1,49.292,-0.23637
2,12.828,-0.42750
3,18.569,-0.22512
4,19.834,-0.55243